Record 1
VASP calculation (PBE) on a relaxed SrNdMg crystal.

As for the raw total energy: -2.31 eV/atom. The value obtained for the size of the total moment is 0.02 μB per formula unit. The value obtained for the volume is 41.4 Å³ per atom.

The space group is F-43m (No. 216) and the conventional cell measures 7.9222, 7.9222 and 7.9222 Å, with angles of 90.00, 90.00 and 90.00 degrees. Symmetry generates all atoms from Sr at (0.0000, 0.0000, 0.0000), Nd at (0.0000, 0.0000, 0.5000) and Mg at (0.2500, 0.2500, 0.7500).



Record 2
VASP calculation (PBE) on a relaxed GdDyAl4Fe2 crystal.

As for the raw total energy: -5.46 eV/atom. The value obtained for the size of the total moment is 1.93 μB per formula unit. The value obtained for the volume is 18.1 Å³ per atom.

The space group is Amm2 (No. 38) and the conventional cell measures 7.0632, 4.0477 and 10.1309 Å, with angles of 90.00, 90.00 and 90.00 degrees. Symmetry generates all atoms from Gd at (0.0000, 0.0000, 0.0000), Dy at (0.5000, 0.0000, 0.8764), Al at (0.1944, 0.0000, 0.2809), Al at (0.3077, 0.0000, 0.5957), Fe at (0.0000, 0.0000, 0.7250) and Fe at (0.5000, 0.0000, 0.1520).



Record 3
VASP calculation (PBE) on a relaxed AlRe3 crystal.

As for the raw total energy: -10.03 eV/atom. The value obtained for the size of the total moment is 0.01 μB per formula unit. The value obtained for the volume is 14.8 Å³ per atom.

The space group is Pm-3m (No. 221) and the conventional cell measures 3.8986, 3.8986 and 3.8986 Å, with angles of 90.00, 90.00 and 90.00 degrees. Symmetry generates all atoms from Al at (0.0000, 0.0000, 0.0000) and Re at (0.0000, 0.5000, 0.5000).



Record 4
VASP calculation (PBE) on a relaxed LiUTl crystal.

The value obtained for the size of the total moment is 2.39 μB per formula unit. The value obtained for the relative energy among the computed polymorphs is 0.0 kJ per mole of atoms. The value obtained for the volume is 24.7 Å³ per atom.

The space group is F-43m (No. 216) and the conventional cell measures 6.6657, 6.6657 and 6.6657 Å, with angles of 90.00, 90.00 and 90.00 degrees. Symmetry generates all atoms from Li at (0.0000, 0.0000, 0.0000), U at (0.2500, 0.2500, 0.2500) and Tl at (0.2500, 0.2500, 0.7500).



Record 5
VASP calculation (PBE) on a relaxed SnTePd crystal.

As for the raw total energy: -4.46 eV/atom. The value obtained for the volume is 25.0 Å³ per atom.

The space group is F-43m (No. 216) and the conventional cell measures 6.6917, 6.6917 and 6.6917 Å, with angles of 90.00, 90.00 and 90.00 degrees. Symmetry generates all atoms from Sn at (0.0000, 0.0000, 0.0000), Te at (0.0000, 0.0000, 0.5000) and Pd at (0.2500, 0.2500, 0.2500).



Record 6
VASP calculation (PBE) on a relaxed Rb2HgBr4 crystal.

As for the raw total energy: -2.49 eV/atom. The value obtained for the volume is 39.7 Å³ per atom.

The space group is P2_1 (No. 4) and the conventional cell measures 7.7728, 7.7591 and 9.7388 Å, with angles of 90.00, 108.88 and 90.00 degrees. Symmetry generates all atoms from Rb at (0.2088, 0.0000, 0.0486), Rb at (0.2648, 0.0027, 0.5700), Hg at (0.2293, 0.5051, 0.7964), Br at (0.0087, 0.7431, 0.2657), Br at (0.0133, 0.2645, 0.2684), Br at (0.4108, 0.5142, 0.0797) and Br at (0.4363, 0.5070, 0.6276).



Record 7
VASP calculation (PBE) on a relaxed ScCuNiSb crystal.

The value obtained for the size of the total moment is 0.00 μB per formula unit. The value obtained for the relative energy among the computed polymorphs is 0.0 kJ per mole of atoms. The value obtained for the volume is 15.9 Å³ per atom.

The space group is F-43m (No. 216) and the conventional cell measures 6.3338, 6.3338 and 6.3338 Å, with angles of 90.00, 90.00 and 90.00 degrees. Symmetry generates all atoms from Sc at (0.0000, 0.0000, 0.0000), Cu at (0.2500, 0.2500, 0.2500), Ni at (0.2500, 0.2500, 0.7500) and Sb at (0.0000, 0.0000, 0.5000).



Record 8
VASP calculation (PBE) on a relaxed TbNb2N3 crystal.

As for the raw total energy: -9.47 eV/atom. The value obtained for the size of the total moment is 0.00 μB per formula unit. The value obtained for the volume is 11.9 Å³ per atom.

The space group is P-3m1 (No. 164) and the conventional cell measures 3.2376, 3.2376 and 7.8889 Å, with angles of 90.00, 90.00 and 120.00 degrees. Symmetry generates all atoms from Tb at (0.0000, 0.0000, 0.0000), Nb at (0.3333, 0.6667, 0.3473), N at (0.0000, 0.0000, 0.5000) and N at (0.3333, 0.6667, 0.8100).



Record 9
VASP calculation (PBE) on a relaxed BeCdAsIr crystal.

The value obtained for the size of the total moment is 0.01 μB per formula unit. The value obtained for the relative energy among the computed polymorphs is 11.0 kJ per mole of atoms. The value obtained for the volume is 15.7 Å³ per atom.

The space group is F-43m (No. 216) and the conventional cell measures 6.3100, 6.3100 and 6.3100 Å, with angles of 90.00, 90.00 and 90.00 degrees. Symmetry generates all atoms from Be at (0.0000, 0.0000, 0.0000), Cd at (0.2500, 0.2500, 0.7500), As at (0.2500, 0.2500, 0.2500) and Ir at (0.0000, 0.0000, 0.5000).



Record 10
VASP calculation (PBE) on a relaxed Dy2ErZn3CuIr2 crystal.

As for the formation energy: -0.605 eV/atom. The value obtained for the size of the total moment is 0.00 μB per formula unit. The value obtained for the volume is 18.8 Å³ per atom.

The space group is Amm2 (No. 38) and the conventional cell measures 3.8021, 12.4150 and 7.1731 Å, with angles of 90.00, 90.00 and 90.00 degrees. Symmetry generates all atoms from Dy at (0.0000, 0.2055, 0.0000), Er at (0.0000, 0.0000, 0.3836), Zn at (0.5000, 0.0000, 0.0417), Zn at (0.5000, 0.1234, 0.6709), Cu at (0.0000, 0.0000, 0.7944) and Ir at (0.5000, 0.1664, 0.2947).



Record 11
VASP calculation (PBE) on a relaxed SrMg2HgAu crystal.

As for the raw total energy: -2.17 eV/atom. The value obtained for the volume is 25.0 Å³ per atom.

The space group is I4mm (No. 107) and the conventional cell measures 4.4425, 4.4425 and 12.6641 Å, with angles of 90.00, 90.00 and 90.00 degrees. Symmetry generates all atoms from Sr at (0.0000, 0.0000, 0.0000), Mg at (0.0000, 0.5000, 0.2599), Hg at (0.0000, 0.0000, 0.6137) and Au at (0.0000, 0.0000, 0.3861).



Record 12
VASP calculation (PBE) on a relaxed Tl2Hg2Se3 crystal.

The value obtained for the relative energy among the computed polymorphs is 12.9 kJ per mole of atoms. The value obtained for the volume is 26.6 Å³ per atom.

The space group is R-3m (No. 166, hexagonal axes) and the conventional cell measures 6.1386, 6.1386 and 17.1133 Å, with angles of 90.00, 90.00 and 120.00 degrees. Symmetry generates all atoms from Tl at (0.0000, 0.0000, 0.0000), Tl at (0.0000, 0.0000, 0.5000), Hg at (0.0000, 0.0000, 0.1773) and Se at (0.0000, 0.5000, 0.0000).



Record 13
VASP calculation (PBE) on a relaxed YFeAgBi crystal.

The value obtained for the size of the total moment is 2.82 μB per formula unit. The value obtained for the relative energy among the computed polymorphs is 0.0 kJ per mole of atoms. The value obtained for the volume is 21.9 Å³ per atom.

The space group is F-43m (No. 216) and the conventional cell measures 7.0542, 7.0542 and 7.0542 Å, with angles of 90.00, 90.00 and 90.00 degrees. Symmetry generates all atoms from Y at (0.0000, 0.0000, 0.0000), Fe at (0.0000, 0.0000, 0.5000), Ag at (0.2500, 0.2500, 0.7500) and Bi at (0.2500, 0.2500, 0.2500).



Record 14
VASP calculation (PBE) on a relaxed HfAlAgPt crystal.

The value obtained for the size of the total moment is 0.00 μB per formula unit. The value obtained for the relative energy among the computed polymorphs is 25.4 kJ per mole of atoms. The value obtained for the volume is 16.9 Å³ per atom.

The space group is F-43m (No. 216) and the conventional cell measures 6.4675, 6.4675 and 6.4675 Å, with angles of 90.00, 90.00 and 90.00 degrees. Symmetry generates all atoms from Hf at (0.0000, 0.0000, 0.0000), Al at (0.2500, 0.2500, 0.7500), Ag at (0.2500, 0.2500, 0.2500) and Pt at (0.0000, 0.0000, 0.5000).



Record 15
VASP calculation (PBE) on a relaxed ZrIr2Pb crystal.

As for the raw total energy: -7.39 eV/atom. The value obtained for the size of the total moment is 0.00 μB per formula unit. The value obtained for the volume is 18.5 Å³ per atom.

The space group is F-43m (No. 216) and the conventional cell measures 6.6658, 6.6658 and 6.6658 Å, with angles of 90.00, 90.00 and 90.00 degrees. Symmetry generates all atoms from Zr at (0.0000, 0.0000, 0.0000), Ir at (0.0000, 0.0000, 0.5000), Ir at (0.2500, 0.2500, 0.2500) and Pb at (0.2500, 0.2500, 0.7500).



Record 16
VASP calculation (PBE) on a relaxed Cd2BPt crystal.

As for the raw total energy: -2.96 eV/atom. The value obtained for the size of the total moment is 0.00 μB per formula unit. The value obtained for the volume is 16.4 Å³ per atom.

The space group is F-43m (No. 216) and the conventional cell measures 6.4046, 6.4046 and 6.4046 Å, with angles of 90.00, 90.00 and 90.00 degrees. Symmetry generates all atoms from Cd at (0.0000, 0.0000, 0.0000), Cd at (0.2500, 0.2500, 0.2500), B at (0.0000, 0.0000, 0.5000) and Pt at (0.2500, 0.2500, 0.7500).



Record 17
VASP calculation (PBE) on a relaxed Er2Ni crystal.

As for the formation energy: 1.038 eV/atom. The value obtained for the size of the total moment is 0.00 μB per formula unit. The value obtained for the volume is 62.4 Å³ per atom.

The space group is Fd-3m (No. 227, origin choice 2) and the conventional cell measures 11.4405, 11.4405 and 11.4405 Å, with angles of 90.00, 90.00 and 90.00 degrees. Symmetry generates all atoms from Er at (0.0000, 0.0000, 0.0000) and Ni at (0.1250, 0.1250, 0.1250).



Record 18
VASP calculation (PBE) on a relaxed NaZnP3O9 crystal.

As for the raw total energy: -6.63 eV/atom. The value obtained for the volume is 13.3 Å³ per atom.

The space group is I-43d (No. 220) and the conventional cell measures 14.3827, 14.3827 and 14.3827 Å, with angles of 90.00, 90.00 and 90.00 degrees. Symmetry generates all atoms from Na at (0.1099, 0.3901, 0.6099), Zn at (0.0155, 0.0155, 0.0155), P at (0.0823, 0.3665, 0.8597), O at (0.0216, 0.3834, 0.1126), O at (0.0252, 0.1471, 0.8286) and O at (0.0519, 0.0762, 0.5912).



Record 19
VASP calculation (PBE) on a relaxed DyErSc2In2 crystal.

As for the raw total energy: -4.92 eV/atom. The value obtained for the size of the total moment is 0.02 μB per formula unit. The value obtained for the volume is 25.3 Å³ per atom.

The space group is P-3m1 (No. 164) and the conventional cell measures 5.1746, 5.1746 and 6.5557 Å, with angles of 90.00, 90.00 and 120.00 degrees. Symmetry generates all atoms from Dy at (0.0000, 0.0000, 0.0000), Er at (0.0000, 0.0000, 0.5000), Sc at (0.3333, 0.6667, 0.7496) and In at (0.3333, 0.6667, 0.2503).



Record 20
VASP calculation (PBE) on a relaxed Nb3InSb5 crystal.

As for the raw total energy: -6.03 eV/atom. The value obtained for the size of the total moment is 0.01 μB per formula unit. The value obtained for the volume is 27.5 Å³ per atom.

The space group is P6/mmm (No. 191) and the conventional cell measures 5.7464, 5.7464 and 8.6699 Å, with angles of 90.00, 90.00 and 120.00 degrees. Symmetry generates all atoms from Nb at (0.0000, 0.5000, 0.0000), In at (0.0000, 0.0000, 0.5000), Sb at (0.0000, 0.0000, 0.0000) and Sb at (0.3333, 0.6667, 0.2795).



Record 21
VASP calculation (PBE) on a relaxed NaSrPr crystal.

The value obtained for the size of the total moment is 0.89 μB per formula unit. The value obtained for the relative energy among the computed polymorphs is 0.0 kJ per mole of atoms. The value obtained for the volume is 44.5 Å³ per atom.

The space group is F-43m (No. 216) and the conventional cell measures 8.1119, 8.1119 and 8.1119 Å, with angles of 90.00, 90.00 and 90.00 degrees. Symmetry generates all atoms from Na at (0.0000, 0.0000, 0.0000), Sr at (0.2500, 0.2500, 0.2500) and Pr at (0.2500, 0.2500, 0.7500).



Record 22
VASP calculation (PBE) on a relaxed Pr4I3NCl2 crystal.

As for the raw total energy: -5.11 eV/atom. The value obtained for the size of the total moment is 0.01 μB per formula unit. The value obtained for the volume is 32.3 Å³ per atom.

The space group is C2/m (No. 12) and the conventional cell measures 18.8600, 3.9918 and 8.7757 Å, with angles of 90.00, 102.18 and 90.00 degrees. Symmetry generates all atoms from Pr at (0.0005, 0.0000, 0.3055), Pr at (0.1342, 0.5000, 0.5697), I at (0.0000, 0.5000, 0.0000), I at (0.1732, 0.0000, 0.3124), N at (0.0000, 0.5000, 0.5000) and Cl at (0.1531, 0.0000, 0.8097).